DFT (GGA-PBE) results for crystalline NiAsBr2 at its relaxed geometry.

Computed properties:
Crystal system: trigonal

```
data_NiAsBr2
_chemical_formula_sum 'Ni3 As3 Br6'
_cell_length_a 3.4909
_cell_length_b 3.4909
_cell_length_c 26.5152
_cell_angle_alpha 90.00
_cell_angle_beta 90.00
_cell_angle_gamma 120.00
_space_group_name_H-M_alt 'R -3 m'
_space_group_IT_number 166
_space_group_name_Hall '-R 3 2"'
loop_
_atom_site_label
_atom_site_fract_x
_atom_site_fract_y
_atom_site_fract_z
_atom_site_occupancy
Ni1 0.0000 0.0000 0.0000 1
As1 0.0000 0.0000 0.5000 1
Br1 0.0000 0.0000 0.2774 1
```

DFT (GGA-PBE) results for crystalline NiAsBr2 at its relaxed geometry.

Computed properties:
Crystal system: orthorhombic

```
data_NiAsBr2
_chemical_formula_sum 'Ni1 As1 Br2'
_cell_length_a 3.3273
_cell_length_b 4.1981
_cell_length_c 6.3166
_cell_angle_alpha 90.00
_cell_angle_beta 90.00
_cell_angle_gamma 90.00
_space_group_name_H-M_alt 'P m m m'
_space_group_IT_number 47
loop_
_space_group_symop_operation_xyz
'x,y,z'
'-x,-y,-z'
'-x,-y,z'
'x,y,-z'
'x,-y,-z'
'-x,y,z'
'-x,y,-z'
'x,-y,z'
loop_
_atom_site_label
_atom_site_fract_x
_atom_site_fract_y
_atom_site_fract_z
_atom_site_occupancy
Ni1 0.0000 0.0000 0.0000 1
As1 0.5000 0.0000 0.5000 1
Br1 0.0000 0.5000 0.5000 1
Br2 0.5000 0.5000 0.0000 1
```

| no. | electronic total energy (eV per atom) | relative energy among the computed polymorphs (meV per atom) |
| --- | --- | --- |
| 1 | -3.191 | 538 |
| 2 | -2.911 | 818 |